Mn2AlCu2Pt5 | PBE | optimized geometry

POSCAR file:
```
Mn2AlCu2Pt5
1.0
3.8204 0.0000 0.0000
0.0000 8.9827 0.0000
0.0000 0.0000 8.9827
Mn Al Cu Pt
4 2 4 10
direct
0.0000 0.6690 0.1690
0.0000 0.3310 0.8310
0.0000 0.1690 0.3310
0.0000 0.8310 0.6690
0.0000 0.0000 0.0000
0.0000 0.5000 0.5000
0.0000 0.1262 0.6262
0.0000 0.8738 0.3738
0.0000 0.6262 0.8738
0.0000 0.3738 0.1262
0.5000 0.1932 0.0872
0.5000 0.8068 0.9128
0.5000 0.0872 0.8068
0.5000 0.6932 0.4128
0.5000 0.9128 0.1932
0.5000 0.3068 0.5872
0.5000 0.5872 0.6932
0.5000 0.4128 0.3068
0.5000 0.5000 0.0000
0.5000 0.0000 0.5000
```

Output
Crystal system: tetragonal
Space group: P4/mbm (127)
Calculated formation energy (eV/atom): -0.3007